[1]
Entry from the Alexandria database: an optimized crystal structure of ZnCuSbI2 (PBE).

Computed properties:
Crystal system: tetragonal
Electronic total energy in eV for the cell shown: -9.3
Uncorrected formation energy in meV per atom: 664
Mass density in Mg/m³: 5.08

Lattice parameters (Å, degrees): 5.615 5.615 5.234 90.00 90.00 90.00
Element x y z (fractional)
Sb 0.000 0.000 0.500
Zn 0.000 0.000 0.000
Cu 0.500 0.500 0.500
I 0.000 0.500 0.000
I 0.500 0.000 0.000

---

[2]
Entry from the Alexandria database: an optimized crystal structure of Cs2ZnAs2 (PBE).

Computed properties:
Crystal system: tetragonal
Electronic total energy in eV for the cell shown: -25.5
Mass density in Mg/m³: 3.76

Lattice parameters (Å, degrees): 9.339 9.339 4.869 90.00 90.00 90.00
Element x y z (fractional)
Cs 0.700 0.800 0.500
Cs 0.300 0.200 0.500
Cs 0.200 0.700 0.500
Cs 0.800 0.300 0.500
Zn 0.000 0.000 0.000
Zn 0.500 0.500 0.000
As 0.087 0.413 0.000
As 0.913 0.587 0.000
As 0.413 0.913 0.000
As 0.587 0.087 0.000

---

[3]
Entry from the Alexandria database: an optimized crystal structure of Cd2Pt5 (PBE).

Computed properties:
Crystal system: monoclinic
Electronic total energy in eV for the cell shown: -65.8
Mass density in Mg/m³: 13.87

Lattice parameters (Å, degrees): 4.687 9.338 7.048 98.44 109.42 90.00
Element x y z (fractional)
Pt 0.502 0.235 0.590
Pt 0.707 0.720 0.798
Pt 0.912 0.265 0.410
Pt 0.299 0.750 0.000
Pt 0.909 0.780 0.202
Pt 0.088 0.735 0.590
Pt 0.293 0.280 0.202
Pt 0.091 0.220 0.798
Pt 0.701 0.250 0.000
Pt 0.498 0.765 0.410
Cd 0.718 0.515 0.251
Cd 0.466 0.985 0.749
Cd 0.282 0.485 0.749
Cd 0.534 0.015 0.251

---

[4]
Entry from the Alexandria database: an optimized crystal structure of LaHPtRh2 (PBE).

Computed properties:
Crystal system: tetragonal
Electronic total energy in eV for the cell shown: -31.4
Mass density in Mg/m³: 12.04

Lattice parameters (Å, degrees): 4.255 4.255 4.119 90.00 90.00 90.00
Element x y z (fractional)
H 0.000 0.000 0.000
La 0.500 0.500 0.500
Rh 0.000 0.500 0.000
Rh 0.500 0.000 0.000
Pt 0.000 0.000 0.500

---

[5]
Entry from the Alexandria database: an optimized crystal structure of KYInSe3 (PBE).

Computed properties:
Crystal system: monoclinic
Electronic total energy in eV for the cell shown: -56.8
Uncorrected formation energy in meV per atom: -1274
Mass density in Mg/m³: 4.17

Lattice parameters (Å, degrees): 4.094 8.631 11.315 107.13 90.00 90.00
Element x y z (fractional)
Se 0.250 0.103 0.805
Se 0.750 0.345 0.587
Se 0.750 0.407 0.114
Se 0.250 0.655 0.413
Se 0.250 0.593 0.886
Se 0.750 0.897 0.195
Y 0.250 0.646 0.146
Y 0.750 0.354 0.854
In 0.250 0.134 0.578
In 0.750 0.866 0.422
K 0.250 0.230 0.265
K 0.750 0.770 0.735

---

[6]
Entry from the Alexandria database: an optimized crystal structure of In3Hg12Pb5 (PBE).

Computed properties:
Crystal system: cubic
Electronic total energy in eV for the cell shown: -108.0
Mass density in Mg/m³: 9.42

Lattice parameters (Å, degrees): 15.138 15.138 15.138 109.47 109.47 109.47
Element x y z (fractional)
Hg 0.901 0.831 0.763
Hg 0.638 0.569 0.901
Hg 0.831 0.931 0.068
Hg 0.138 0.401 0.069
Hg 0.901 0.069 0.638
Hg 0.331 0.763 0.401
Hg 0.237 0.568 0.638
Hg 0.169 0.069 0.932
Hg 0.862 0.263 0.432
Hg 0.669 0.432 0.569
Hg 0.432 0.763 0.862
Hg 0.737 0.599 0.169
Hg 0.763 0.432 0.362
Hg 0.068 0.431 0.831
Hg 0.401 0.263 0.331
Hg 0.932 0.569 0.169
Hg 0.432 0.669 0.069
Hg 0.237 0.669 0.099
Hg 0.569 0.932 0.669
Hg 0.931 0.099 0.862
Hg 0.431 0.068 0.331
Hg 0.568 0.331 0.931
Hg 0.568 0.237 0.138
Hg 0.263 0.401 0.831
Hg 0.599 0.862 0.431
Hg 0.831 0.901 0.263
Hg 0.401 0.138 0.569
Hg 0.638 0.068 0.237
Hg 0.099 0.931 0.362
Hg 0.263 0.862 0.932
Hg 0.669 0.237 0.599
Hg 0.069 0.901 0.138
Hg 0.331 0.568 0.431
Hg 0.362 0.932 0.763
Hg 0.068 0.638 0.737
Hg 0.431 0.362 0.599
Hg 0.169 0.099 0.737
Hg 0.932 0.362 0.263
Hg 0.099 0.169 0.237
Hg 0.362 0.431 0.099
Hg 0.931 0.831 0.568
Hg 0.069 0.169 0.432
Hg 0.763 0.331 0.901
Hg 0.569 0.638 0.401
Hg 0.862 0.599 0.931
Hg 0.138 0.737 0.568
Hg 0.737 0.138 0.068
Hg 0.599 0.737 0.669
Pb 0.500 0.000 0.000
Pb 0.875 0.625 0.750
Pb 0.500 0.500 0.500
Pb 0.625 0.750 0.875
Pb 0.625 0.875 0.250
Pb 0.000 0.000 0.000
Pb 0.750 0.625 0.375
Pb 0.500 0.000 0.500
Pb 0.875 0.250 0.625
Pb 0.000 0.000 0.500
Pb 0.125 0.750 0.375
Pb 0.250 0.875 0.125
Pb 0.000 0.500 0.000
Pb 0.375 0.125 0.750
Pb 0.500 0.500 0.000
Pb 0.250 0.375 0.625
Pb 0.375 0.250 0.125
Pb 0.750 0.125 0.875
Pb 0.000 0.500 0.500
Pb 0.125 0.375 0.250
In 0.125 0.250 0.875
In 0.625 0.250 0.375
In 0.625 0.375 0.750
In 0.375 0.750 0.625
In 0.750 0.375 0.125
In 0.375 0.625 0.250
In 0.250 0.125 0.375
In 0.875 0.125 0.250
In 0.250 0.625 0.875
In 0.875 0.750 0.125
In 0.125 0.875 0.750
In 0.750 0.875 0.625

---

[7]
Entry from the Alexandria database: an optimized crystal structure of SrNiGe2 (PBE).

Computed properties:
Crystal system: monoclinic
Electronic total energy in eV for the cell shown: -37.6
Mass density in Mg/m³: 5.97

Lattice parameters (Å, degrees): 4.433 4.214 8.963 90.00 104.40 90.00
Element x y z (fractional)
Ge 0.750 0.750 0.500
Ge 0.542 0.250 0.087
Ge 0.458 0.750 0.913
Ge 0.250 0.250 0.500
Ni 0.681 0.250 0.363
Ni 0.319 0.750 0.637
Sr 0.892 0.250 0.785
Sr 0.108 0.750 0.215

---

[8]
Entry from the Alexandria database: an optimized crystal structure of Cs2Cu2AgI6 (PBE).

Computed properties:
Crystal system: trigonal
Electronic total energy in eV for the cell shown: -29.1
Uncorrected formation energy in meV per atom: -637
Mass density in Mg/m³: 4.47

Lattice parameters (Å, degrees): 8.364 8.364 9.118 62.70 62.70 60.00
Element x y z (fractional)
Cs 0.765 0.765 0.704
Cs 0.235 0.235 0.296
I 0.756 0.756 0.252
I 0.244 0.764 0.748
I 0.764 0.244 0.748
I 0.244 0.244 0.748
I 0.756 0.236 0.252
I 0.236 0.756 0.252
Cu 0.584 0.584 0.247
Cu 0.416 0.416 0.753
Ag 0.000 0.000 0.000

---

[9]
Entry from the Alexandria database: an optimized crystal structure of Ag2SbMo (PBE).

Computed properties:
Crystal system: trigonal
Electronic total energy in eV for the cell shown: -19.1
Uncorrected formation energy in meV per atom: 399
Mass density in Mg/m³: 9.26

Lattice parameters (Å, degrees): 9.577 9.577 9.577 18.56 18.56 18.56
Site moments in Bohr magnetons follow the coordinates.
Element x y z (fractional)
Ag 0.247 0.247 0.247  0.01
Ag 0.995 0.995 0.995  0.01
Mo 0.500 0.500 0.500  0.34
Sb 0.757 0.757 0.757  0.01

---

[10]
Entry from the Alexandria database: an optimized crystal structure of PaTlPdI6 (PBE).

Computed properties:
Crystal system: trigonal
Electronic total energy in eV for the cell shown: -64.2
Uncorrected formation energy in meV per atom: -639
Mass density in Mg/m³: 5.54

Lattice parameters (Å, degrees): 7.439 7.439 16.297 90.00 90.00 120.00
Site moments in Bohr magnetons follow the coordinates.
Element x y z (fractional)
I 0.652 0.649 0.643  -0.02
I 0.003 0.652 0.357  -0.02
I 0.348 0.351 0.357  -0.02
I 0.348 0.997 0.143  -0.02
I 0.649 0.997 0.357  -0.02
I 0.351 0.003 0.643  -0.02
I 0.003 0.351 0.143  -0.02
I 0.997 0.348 0.643  -0.02
I 0.652 0.003 0.857  -0.02
I 0.351 0.348 0.857  -0.02
I 0.649 0.652 0.143  -0.02
I 0.997 0.649 0.857  -0.02
Pa 0.667 0.333 0.250  0.33
Pa 0.333 0.667 0.750  0.33
Pd 0.333 0.667 0.250  -0.21
Pd 0.667 0.333 0.750  -0.21
Tl 0.000 0.000 0.500  -0.01
Tl 0.000 0.000 0.000  -0.01

---

[11]
Entry from the Alexandria database: an optimized crystal structure of Tm3Mg5Tl2 (PBE).

Computed properties:
Crystal system: orthorhombic
Electronic total energy in eV for the cell shown: -52.2
Mass density in Mg/m³: 6.56

Lattice parameters (Å, degrees): 6.164 9.759 9.759 89.99 71.59 71.59
Site moments in Bohr magnetons follow the coordinates.
Element x y z (fractional)
Tm 0.133 0.094 0.639  0.01
Tm 0.750 0.000 0.000  0.15
Tm 0.867 0.906 0.361  0.01
Tm 0.633 0.639 0.094  0.01
Tm 0.367 0.361 0.906  0.01
Tm 0.250 0.000 0.000  0.15
Mg 0.605 0.242 0.547  0.00
Mg 0.750 0.500 0.500  0.00
Mg 0.509 0.741 0.741  0.00
Mg 0.895 0.453 0.758  0.00
Mg 0.491 0.259 0.259  0.00
Mg 0.250 0.500 0.500  0.00
Mg 0.009 0.741 0.741  0.00
Mg 0.395 0.758 0.453  0.00
Mg 0.991 0.259 0.259  0.00
Mg 0.105 0.547 0.242  0.00
Tl 0.360 0.989 0.291  0.00
Tl 0.140 0.709 0.011  0.00
Tl 0.640 0.011 0.709  0.00
Tl 0.860 0.291 0.989  0.00

---

[12]
Entry from the Alexandria database: an optimized crystal structure of Cs3Pu2AuSe6 (PBE).

Computed properties:
Crystal system: monoclinic
Electronic total energy in eV for the cell shown: -68.3
Uncorrected formation energy in meV per atom: -1074
Mass density in Mg/m³: 6.42

Lattice parameters (Å, degrees): 7.728 7.728 8.479 96.77 96.77 124.70
Site moments in Bohr magnetons follow the coordinates.
Element x y z (fractional)
Pu 0.333 0.667 0.000  4.78
Pu 0.667 0.333 0.000  4.78
Se 0.555 0.943 0.800  -0.20
Se 0.057 0.445 0.200  -0.20
Se 0.445 0.057 0.200  -0.20
Se 0.261 0.261 0.845  -0.13
Se 0.739 0.739 0.155  -0.13
Se 0.943 0.555 0.800  -0.20
Cs 0.500 0.500 0.500  0.00
Cs 0.147 0.853 0.500  -0.01
Cs 0.853 0.147 0.500  -0.01
Au 0.000 0.000 0.000  -0.10

---

[13]
Entry from the Alexandria database: an optimized crystal structure of La2Nd2ThMg5 (PBE).

Computed properties:
Crystal system: tetragonal
Electronic total energy in eV for the cell shown: -68.4
Mass density in Mg/m³: 5.07

Lattice parameters (Å, degrees): 5.248 10.719 10.719 90.00 90.00 90.00
Element x y z (fractional)
Mg 0.500 0.194 0.075
Mg 0.500 0.075 0.806
Mg 0.500 0.806 0.925
Mg 0.500 0.925 0.194
Mg 0.500 0.500 0.000
Mg 0.500 0.694 0.425
Mg 0.500 0.306 0.575
Mg 0.500 0.425 0.306
Mg 0.500 0.000 0.500
Mg 0.500 0.575 0.694
Th 0.000 0.000 0.000
Th 0.000 0.500 0.500
La 0.000 0.675 0.175
La 0.000 0.325 0.825
La 0.000 0.175 0.325
La 0.000 0.825 0.675
Nd 0.000 0.624 0.876
Nd 0.000 0.124 0.624
Nd 0.000 0.876 0.376
Nd 0.000 0.376 0.124

---

[14]
Entry from the Alexandria database: an optimized crystal structure of LaTaSb2I (PBE).

Computed properties:
Crystal system: tetragonal
Electronic total energy in eV for the cell shown: -26.6
Uncorrected formation energy in meV per atom: -12
Mass density in Mg/m³: 7.17

Lattice parameters (Å, degrees): 5.388 5.388 5.508 90.00 90.00 90.00
Element x y z (fractional)
Sb 0.500 0.000 0.000
Sb 0.000 0.500 0.000
Ta 0.000 0.000 0.000
La 0.500 0.500 0.500
I 0.000 0.000 0.500

---

[15]
Entry from the Alexandria database: an optimized crystal structure of Na4Ac3BO8 (PBE).

Computed properties:
Crystal system: monoclinic
Electronic total energy in eV for the cell shown: -97.3
Uncorrected formation energy in meV per atom: -2084
Mass density in Mg/m³: 5.65

Lattice parameters (Å, degrees): 6.937 6.712 7.467 115.80 117.68 90.00
Element x y z (fractional)
O 0.283 0.272 0.566
O 0.313 0.796 0.626
O 0.798 0.631 0.932
O 0.202 0.369 0.068
O 0.135 0.631 0.932
O 0.717 0.728 0.434
O 0.687 0.204 0.374
O 0.865 0.369 0.068
B 0.000 0.500 0.000
Na 0.500 0.000 0.500
Na 0.500 0.000 0.000
Na 0.000 0.000 0.500
Na 0.000 0.000 0.000
Ac 0.500 0.500 0.500
Ac 0.500 0.500 0.000
Ac 0.000 0.500 0.500

---

[16]
Entry from the Alexandria database: an optimized crystal structure of K2CdSb (PBE).

Computed properties:
Crystal system: orthorhombic
Electronic total energy in eV for the cell shown: -8.1
Uncorrected formation energy in meV per atom: -217
Mass density in Mg/m³: 3.68

Lattice parameters (Å, degrees): 5.674 5.674 6.567 125.27 125.27 70.34
Element x y z (fractional)
Sb 0.750 0.250 0.500
K 0.000 0.000 0.000
K 0.500 0.500 0.000
Cd 0.250 0.750 0.500

---

[17]
Entry from the Alexandria database: an optimized crystal structure of Ac2AlSn2 (PBE).

Computed properties:
Crystal system: orthorhombic
Electronic total energy in eV for the cell shown: -45.0
Mass density in Mg/m³: 7.03

Lattice parameters (Å, degrees): 4.722 7.676 9.661 90.00 104.15 90.00
Element x y z (fractional)
Ac 0.791 0.409 0.582
Ac 0.209 0.909 0.418
Ac 0.021 0.227 0.043
Ac 0.979 0.727 0.957
Al 0.602 0.583 0.203
Al 0.398 0.083 0.797
Sn 0.420 0.442 0.839
Sn 0.167 0.472 0.334
Sn 0.580 0.942 0.161
Sn 0.833 0.972 0.666

---

[18]
Entry from the Alexandria database: an optimized crystal structure of CaFe2Rh (PBE).

Computed properties:
Crystal system: tetragonal
Electronic total energy in eV for the cell shown: -49.0
Mass density in Mg/m³: 5.73

Lattice parameters (Å, degrees): 7.372 7.372 5.878 51.17 51.17 90.00
Site moments in Bohr magnetons follow the coordinates.
Element x y z (fractional)
Fe 0.875 0.930 0.750  2.90
Fe 0.680 0.125 0.250  2.88
Fe 0.375 0.320 0.750  2.90
Fe 0.070 0.625 0.250  2.88
Rh 0.750 0.250 0.500  0.54
Rh 0.000 0.000 0.000  0.54
Ca 0.250 0.750 0.500  -0.07
Ca 0.500 0.500 0.000  -0.07